DFT (PBE) results for a relaxed structure of PmY2Sc.

Calculated values
Space-group type: No. 225
Excess energy over the best structure of this formula in the dataset: 110 meV/atom
Electronic total energy: -5.854 eV/atom

Cell lengths 7.9223, 7.9223, 7.9223 Å; angles 90.00, 90.00, 90.00 degrees
Sites, in units of the cell vectors:
1 Pm 0.0000 0.0000 0.0000
2 Pm 0.0000 0.5000 0.5000
3 Pm 0.5000 0.0000 0.5000
4 Pm 0.5000 0.5000 0.0000
5 Y 0.2500 0.2500 0.2500
6 Y 0.2500 0.2500 0.7500
7 Y 0.2500 0.7500 0.2500
8 Y 0.2500 0.7500 0.7500
9 Y 0.7500 0.2500 0.2500
10 Y 0.7500 0.2500 0.7500
11 Y 0.7500 0.7500 0.2500
12 Y 0.7500 0.7500 0.7500
13 Sc 0.0000 0.0000 0.5000
14 Sc 0.0000 0.5000 0.0000
15 Sc 0.5000 0.0000 0.0000
16 Sc 0.5000 0.5000 0.5000